1.
Here is an optimized crystal structure of BeNiSn3 from the Alexandria database. Energies are from GGA-PBEsol.

Lattice parameters (Å, degrees): 4.869 4.869 4.869 90.00 90.00 90.00
Atoms (fractional coordinates):
Be  0.000  0.000  0.000
Ni  0.500  0.500  0.500
Sn  0.000  0.500  0.500
Sn  0.500  0.000  0.500
Sn  0.500  0.500  0.000

Values from the calculation:
- calculated formation energy (eV per atom) = 0.509
- total moment (μB/f.u.) = 0.0
- E (eV per formula unit) = -20.39

2.
Here is an optimized crystal structure of SrBe2Ni from the Alexandria database. Energies are from GGA-PBEsol.

Lattice parameters (Å, degrees): 3.833 3.833 15.690 90.00 90.00 120.00
Atoms (fractional coordinates):
Sr  0.000  0.000  0.000
Sr  0.333  0.667  0.667
Sr  0.667  0.333  0.333
Be  0.000  0.000  0.178
Be  0.000  0.000  0.496
Be  0.333  0.667  0.162
Be  0.333  0.667  0.845
Be  0.667  0.333  0.512
Be  0.667  0.333  0.829
Ni  0.000  0.000  0.817
Ni  0.333  0.667  0.484
Ni  0.667  0.333  0.151

Values from the calculation:
- calculated formation energy (eV per atom) = -0.049
- total moment (μB/f.u.) = 0.0
- E (eV per formula unit) = -16.20

3.
Here is an optimized crystal structure of SrBe2Ni from the Alexandria database. Energies are from GGA-PBEsol.

Lattice parameters (Å, degrees): 4.161 4.161 7.108 90.00 90.00 90.00
Atoms (fractional coordinates):
Sr  0.000  0.000  0.000
Sr  0.500  0.500  0.500
Be  0.000  0.500  0.250
Be  0.000  0.500  0.750
Be  0.500  0.000  0.250
Be  0.500  0.000  0.750
Ni  0.000  0.000  0.500
Ni  0.500  0.500  0.000

Values from the calculation:
- calculated formation energy (eV per atom) = 0.649
- total moment (μB/f.u.) = 0.0
- E (eV per formula unit) = -13.40

4.
Here is an optimized crystal structure of SrBe2Ni from the Alexandria database. Energies are from GGA-PBEsol.

Lattice parameters (Å, degrees): 3.230 4.210 4.667 90.00 90.00 90.00
Atoms (fractional coordinates):
Sr  0.000  0.000  0.000
Be  0.000  0.500  0.500
Be  0.500  0.000  0.500
Ni  0.500  0.500  0.000

Values from the calculation:
- calculated formation energy (eV per atom) = 0.824
- total moment (μB/f.u.) = 0.0
- E (eV per formula unit) = -12.70

5.
Here is an optimized crystal structure of TaBeNi from the Alexandria database. Energies are from GGA-PBEsol.

Lattice parameters (Å, degrees): 5.487 5.487 5.487 90.00 90.00 90.00
Atoms (fractional coordinates):
Ta  0.000  0.000  0.000
Ta  0.000  0.500  0.500
Ta  0.500  0.000  0.500
Ta  0.500  0.500  0.000
Be  0.000  0.000  0.500
Be  0.000  0.500  0.000
Be  0.500  0.000  0.000
Be  0.500  0.500  0.500
Ni  0.250  0.250  0.750
Ni  0.250  0.750  0.250
Ni  0.750  0.250  0.250
Ni  0.750  0.750  0.750

Values from the calculation:
- calculated formation energy (eV per atom) = 0.121
- total moment (μB/f.u.) = 0.0
- E (eV per formula unit) = -22.35

6.
Here is an optimized crystal structure of Ta6Be15Ni8 from the Alexandria database. Energies are from GGA-PBEsol.

Lattice parameters (Å, degrees): 7.487 7.487 7.487 60.00 60.00 60.00
Atoms (fractional coordinates):
Ta  0.203  0.203  0.797
Ta  0.203  0.797  0.203
Ta  0.203  0.797  0.797
Ta  0.797  0.203  0.203
Ta  0.797  0.203  0.797
Ta  0.797  0.797  0.203
Be  0.000  0.000  0.500
Be  0.000  0.500  0.000
Be  0.000  0.500  0.500
Be  0.173  0.173  0.173
Be  0.173  0.173  0.480
Be  0.173  0.480  0.173
Be  0.480  0.173  0.173
Be  0.500  0.000  0.000
Be  0.500  0.000  0.500
Be  0.500  0.500  0.000
Be  0.500  0.500  0.500
Be  0.520  0.827  0.827
Be  0.827  0.520  0.827
Be  0.827  0.827  0.520
Be  0.827  0.827  0.827
Ni  0.133  0.622  0.622
Ni  0.378  0.378  0.378
Ni  0.378  0.378  0.867
Ni  0.378  0.867  0.378
Ni  0.622  0.133  0.622
Ni  0.622  0.622  0.133
Ni  0.622  0.622  0.622
Ni  0.867  0.378  0.378

Values from the calculation:
- calculated formation energy (eV per atom) = -0.421
- total moment (μB/f.u.) = 0.0
- E (eV per formula unit) = -196.79

7.
Here is an optimized crystal structure of TaBe2Ni from the Alexandria database. Energies are from GGA-PBEsol.

Lattice parameters (Å, degrees): 2.579 4.398 8.315 90.00 90.00 90.00
Atoms (fractional coordinates):
Ta  0.000  0.000  0.000
Ta  0.500  0.500  0.500
Be  0.000  0.500  0.223
Be  0.000  0.500  0.777
Be  0.500  0.000  0.277
Be  0.500  0.000  0.723
Ni  0.000  0.000  0.500
Ni  0.500  0.500  0.000

Values from the calculation:
- calculated formation energy (eV per atom) = 0.099
- total moment (μB/f.u.) = 0.0
- E (eV per formula unit) = -26.31

8.
Here is an optimized crystal structure of TaBe2Ni from the Alexandria database. Energies are from GGA-PBEsol.

Lattice parameters (Å, degrees): 2.721 2.721 5.880 90.00 90.00 90.00
Atoms (fractional coordinates):
Ta  0.000  0.000  0.000
Be  0.500  0.500  0.302
Be  0.500  0.500  0.698
Ni  0.000  0.000  0.500

Values from the calculation:
- calculated formation energy (eV per atom) = -0.214
- total moment (μB/f.u.) = 0.0
- E (eV per formula unit) = -27.57

9.
Here is an optimized crystal structure of BeTcNi from the Alexandria database. Energies are from GGA-PBEsol.

Lattice parameters (Å, degrees): 2.602 2.602 9.359 90.00 90.00 90.00
Atoms (fractional coordinates):
Be  0.000  0.000  0.000
Be  0.500  0.500  0.500
Tc  0.000  0.000  0.324
Tc  0.500  0.500  0.824
Ni  0.000  0.000  0.632
Ni  0.500  0.500  0.132

Values from the calculation:
- calculated formation energy (eV per atom) = -0.154
- total moment (μB/f.u.) = 0.0
- E (eV per formula unit) = -21.89

10.
Here is an optimized crystal structure of BeTc2Ni from the Alexandria database. Energies are from GGA-PBEsol.

Lattice parameters (Å, degrees): 2.601 2.601 24.670 90.00 90.00 120.00
Atoms (fractional coordinates):
Be  0.000  0.000  0.000
Be  0.333  0.667  0.667
Be  0.667  0.333  0.333
Tc  0.000  0.000  0.251
Tc  0.000  0.000  0.749
Tc  0.333  0.667  0.415
Tc  0.333  0.667  0.918
Tc  0.667  0.333  0.082
Tc  0.667  0.333  0.585
Ni  0.000  0.000  0.500
Ni  0.333  0.667  0.167
Ni  0.667  0.333  0.833

Values from the calculation:
- calculated formation energy (eV per atom) = 0.141
- total moment (μB/f.u.) = 0.0
- E (eV per formula unit) = -32.12

11.
Here is an optimized crystal structure of Be2TcNi from the Alexandria database. Energies are from GGA-PBEsol.

Lattice parameters (Å, degrees): 5.023 7.225 2.424 90.00 109.30 90.00
Atoms (fractional coordinates):
Be  0.250  0.250  0.000
Be  0.250  0.750  0.000
Be  0.750  0.250  0.000
Be  0.750  0.750  0.000
Tc  0.000  0.000  0.500
Tc  0.500  0.500  0.500
Ni  0.000  0.500  0.500
Ni  0.500  0.000  0.500

Values from the calculation:
- calculated formation energy (eV per atom) = -0.076
- total moment (μB/f.u.) = 0.0
- E (eV per formula unit) = -25.73

12.
Here is an optimized crystal structure of BeTc3Ni from the Alexandria database. Energies are from GGA-PBEsol.

Lattice parameters (Å, degrees): 4.316 4.316 4.316 90.00 90.00 90.00
Atoms (fractional coordinates):
Be  0.000  0.000  0.000
Tc  0.000  0.500  0.500
Tc  0.500  0.000  0.500
Tc  0.500  0.500  0.000
Ni  0.500  0.500  0.500

Values from the calculation:
- calculated formation energy (eV per atom) = 1.779
- total moment (μB/f.u.) = 0.0
- E (eV per formula unit) = -35.06